[1]
Density functional theory data (GGA-PBE) for a relaxed TlCo2Rh crystal.

energy above the lowest structure with this stoichiometry = 78.0 meV per atom
E_form = 0.379 eV per atom

Unit cell a=4.699 b=4.699 c=4.740 alpha=101.50 beta=101.50 gamma=36.41
Positions (direct):
Tl  0.000  0.000  0.000
Co  0.241  0.241  0.700
Co  0.759  0.759  0.300
Rh  0.500  0.500  0.500

[2]
Density functional theory data (GGA-PBE) for a relaxed TlCoRh2 crystal.

E_form = 0.221 eV per atom

Unit cell a=4.702 b=4.702 c=4.702 alpha=128.48 beta=128.48 gamma=75.85
Positions (direct):
Tl  0.000  0.000  0.000
Co  0.500  0.500  0.000
Rh  0.250  0.750  0.500
Rh  0.750  0.250  0.500

[3]
Density functional theory data (GGA-PBE) for a relaxed TlCoRh2 crystal.

E_form = 0.267 eV per atom

Unit cell a=4.860 b=4.860 c=4.860 alpha=132.24 beta=132.24 gamma=69.85
Positions (direct):
Tl  0.000  0.000  0.000
Co  0.750  0.250  0.500
Rh  0.250  0.750  0.500
Rh  0.500  0.500  0.000

[4]
Density functional theory data (GGA-PBE) for a relaxed Tl2CoRh crystal.

energy above the lowest structure with this stoichiometry = 61.2 meV per atom
E_form = 0.378 eV per atom

Unit cell a=4.633 b=4.633 c=4.633 alpha=60.00 beta=60.00 gamma=60.00
Positions (direct):
Tl  0.250  0.250  0.250
Tl  0.750  0.750  0.750
Co  0.000  0.000  0.000
Rh  0.500  0.500  0.500